Record 1
Sm4GeBiC: relaxed, PBE.

Unit cell a=8.686 b=8.686 c=6.959 alpha=90.00 beta=90.00 gamma=132.91
Atoms (fractional coordinates):
Sm 0.000 0.500 0.000
Sm 0.000 0.500 0.500
Sm 0.083 0.917 0.750
Sm 0.406 0.594 0.750
Sm 0.500 0.000 0.000
Sm 0.500 0.000 0.500
Sm 0.594 0.406 0.250
Sm 0.917 0.083 0.250
Ge 0.115 0.885 0.250
Ge 0.885 0.115 0.750
Bi 0.394 0.606 0.250
Bi 0.606 0.394 0.750
C 0.245 0.755 0.750
C 0.755 0.245 0.250

Computed properties:
space group: No. 63
raw total energy: -81.1 eV per cell
total moment: 0.000 μB per formula unit
Fermi-level density of states: 0.515 states/eV/atom
DFT formation energy: -0.56 eV/atom

=====

Record 2
Tm4GeBiC: relaxed, PBE.

Unit cell a=8.362 b=8.362 c=8.362 alpha=147.32 beta=147.32 gamma=46.90
Atoms (fractional coordinates):
Tm 0.000 0.000 0.000
Tm 0.151 0.651 0.500
Tm 0.318 0.318 0.000
Tm 0.651 0.151 0.500
Ge 0.519 0.519 0.000
Bi 0.800 0.800 0.000
C 0.160 0.160 0.000

Computed properties:
space group: No. 107
raw total energy: -40.1 eV per cell
total moment: 0.000 μB per formula unit
Fermi-level density of states: 0.502 states/eV/atom
DFT formation energy: -0.65 eV/atom

=====

Record 3
Bi2H18C3I9N9: relaxed, PBE.

Unit cell a=9.599 b=9.599 c=21.984 alpha=90.00 beta=90.00 gamma=119.08
Atoms (fractional coordinates):
Bi 0.225 0.775 0.653
Bi 0.225 0.775 0.847
Bi 0.775 0.225 0.153
Bi 0.775 0.225 0.347
H 0.110 0.312 0.587
H 0.110 0.312 0.913
H 0.112 0.133 0.593
H 0.112 0.133 0.907
H 0.133 0.112 0.093
H 0.133 0.112 0.407
H 0.136 0.686 0.080
H 0.136 0.686 0.420
H 0.234 0.587 0.250
H 0.237 0.341 0.250
H 0.312 0.110 0.087
H 0.312 0.110 0.413
H 0.314 0.864 0.080
H 0.314 0.864 0.420
H 0.339 0.417 0.750
H 0.341 0.237 0.750
H 0.413 0.766 0.250
H 0.417 0.339 0.250
H 0.583 0.661 0.750
H 0.587 0.234 0.750
H 0.659 0.763 0.250
H 0.661 0.583 0.250
H 0.686 0.136 0.580
H 0.686 0.136 0.920
H 0.688 0.890 0.587
H 0.688 0.890 0.913
H 0.763 0.659 0.750
H 0.766 0.413 0.750
H 0.864 0.314 0.580
H 0.864 0.314 0.920
H 0.867 0.888 0.593
H 0.867 0.888 0.907
H 0.888 0.867 0.093
H 0.888 0.867 0.407
H 0.890 0.688 0.087
H 0.890 0.688 0.413
C 0.112 0.888 0.088
C 0.112 0.888 0.412
C 0.437 0.563 0.250
C 0.563 0.437 0.750
C 0.888 0.112 0.588
C 0.888 0.112 0.912
I 0.075 0.925 0.750
I 0.079 0.372 0.083
I 0.079 0.372 0.417
I 0.082 0.479 0.750
I 0.372 0.079 0.583
I 0.372 0.079 0.917
I 0.378 0.622 0.580
I 0.378 0.622 0.920
I 0.479 0.082 0.250
I 0.521 0.918 0.750
I 0.622 0.378 0.080
I 0.622 0.378 0.420
I 0.628 0.921 0.083
I 0.628 0.921 0.417
I 0.918 0.521 0.250
I 0.921 0.628 0.583
I 0.921 0.628 0.917
I 0.925 0.075 0.250
N 0.047 0.191 0.591
N 0.047 0.191 0.909
N 0.191 0.047 0.091
N 0.191 0.047 0.409
N 0.193 0.807 0.084
N 0.193 0.807 0.416
N 0.356 0.644 0.250
N 0.358 0.404 0.250
N 0.404 0.358 0.750
N 0.596 0.642 0.250
N 0.642 0.596 0.750
N 0.644 0.356 0.750
N 0.807 0.193 0.584
N 0.807 0.193 0.916
N 0.809 0.953 0.591
N 0.809 0.953 0.909
N 0.953 0.809 0.091
N 0.953 0.809 0.409

Computed properties:
space group: No. 63
raw total energy: -401.2 eV per cell
total moment: 0.000 μB per formula unit
Fermi-level density of states: 0.000 states/eV/atom

=====

Record 4
KBiH10C4O13: relaxed, PBE.

Unit cell a=11.942 b=9.406 c=9.679 alpha=77.46 beta=50.25 gamma=52.29
Atoms (fractional coordinates):
K 0.000 0.000 0.000
K 0.250 0.250 0.250
Bi 0.505 0.505 0.495
Bi 0.755 0.755 0.745
H 0.032 0.245 0.724
H 0.040 0.676 0.185
H 0.053 0.362 0.023
H 0.065 0.151 0.210
H 0.135 0.951 0.368
H 0.151 0.065 0.574
H 0.165 0.435 0.899
H 0.227 0.688 0.197
H 0.245 0.032 0.999
H 0.251 0.526 0.005
H 0.351 0.748 0.085
H 0.362 0.053 0.562
H 0.435 0.165 0.502
H 0.526 0.251 0.218
H 0.676 0.040 0.099
H 0.688 0.227 0.888
H 0.704 0.882 0.299
H 0.748 0.351 0.815
H 0.882 0.704 0.115
H 0.951 0.135 0.546
C 0.074 0.713 0.688
C 0.189 0.529 0.550
C 0.518 0.700 0.721
C 0.529 0.189 0.732
C 0.562 0.725 0.176
C 0.700 0.518 0.061
C 0.713 0.074 0.525
C 0.725 0.562 0.537
O 0.041 0.470 0.972
O 0.078 0.078 0.422
O 0.102 0.506 0.537
O 0.112 0.146 0.081
O 0.146 0.112 0.660
O 0.161 0.736 0.702
O 0.169 0.590 0.138
O 0.278 0.732 0.209
O 0.365 0.411 0.458
O 0.395 0.713 0.744
O 0.411 0.365 0.766
O 0.470 0.041 0.518
O 0.471 0.758 0.351
O 0.484 0.792 0.839
O 0.506 0.102 0.855
O 0.548 0.849 0.089
O 0.590 0.169 0.104
O 0.713 0.395 0.148
O 0.732 0.278 0.780
O 0.736 0.161 0.401
O 0.758 0.471 0.420
O 0.792 0.484 0.885
O 0.828 0.828 0.172
O 0.830 0.899 0.492
O 0.849 0.548 0.514
O 0.899 0.830 0.779

Computed properties:
space group: No. 43
raw total energy: -347.8 eV per cell
total moment: 0.000 μB per formula unit
Fermi-level density of states: 0.000 states/eV/atom

=====

Record 5
Hf6BiC: relaxed, PBE.

Unit cell a=5.853 b=5.867 c=7.036 alpha=65.48 beta=65.87 gamma=60.28
Atoms (fractional coordinates):
Hf 0.029 0.401 0.304
Hf 0.236 0.973 0.694
Hf 0.398 0.764 0.307
Hf 0.602 0.236 0.693
Hf 0.764 0.027 0.306
Hf 0.971 0.599 0.696
Bi 0.500 0.500 0.000
C 0.000 0.000 0.500

Computed properties:
space group: No. 2
raw total energy: -72.5 eV per cell
total moment: 0.000 μB per formula unit
Fermi-level density of states: 0.643 states/eV/atom
DFT formation energy: 0.05 eV/atom

=====

Record 6
Hf2BiC: relaxed, PBE.

Unit cell a=5.980 b=5.980 c=5.980 alpha=110.49 beta=110.49 gamma=107.46
Atoms (fractional coordinates):
Hf 0.017 0.625 0.892
Hf 0.375 0.267 0.392
Hf 0.733 0.125 0.108
Hf 0.875 0.983 0.608
Bi 0.250 0.750 0.500
Bi 0.500 0.500 0.000
C 0.000 0.000 0.000
C 0.750 0.250 0.500

Computed properties:
space group: No. 122
raw total energy: -67.0 eV per cell
total moment: 0.000 μB per formula unit
Fermi-level density of states: 0.540 states/eV/atom
DFT formation energy: -0.12 eV/atom